# TiRuN2F GGA-PBE relaxed
# ΔE_f (raw): 218 meV/atom
# Excess energy over the best structure of this formula in the dataset: 0.2189 eV per atom
data_TiRuN2F
_chemical_formula_sum 'Ti1 Ru1 N2 F1'
_space_group_name_H-M_alt 'P 1'
_space_group_IT_number 1
_space_group_name_Hall 'P 1'
_cell_length_a 3.877
_cell_length_b 3.877
_cell_length_c 3.953
_cell_angle_alpha 90.00
_cell_angle_beta 90.00
_cell_angle_gamma 90.00
loop_
_atom_site_label
_atom_site_fract_x
_atom_site_fract_y
_atom_site_fract_z
Ti1 0.500 0.500 0.500
N1 0.000 0.500 0.000
Ru1 0.000 0.000 0.000
N2 0.500 0.000 0.000
F1 0.000 0.000 0.500